K2HgIr after structural relaxation. Source: Alexandria, functional PBE-GGA.

Cell lengths 4.9400, 5.7871, 9.0341 Å; angles 90.00, 90.00, 90.00 degrees
Last column: nearest neighbours and their distance in Å.
Space group Imm2 (No. 44)
Unique sites:
K: 0.0000 0.0000 0.0000  4 K 3.41-3.67, 1 Ir 3.42, 4 Hg 3.46-3.60
K: 0.0000 0.5000 0.1994  2 Ir 3.31, 4 K 3.41-3.67, 1 Hg 3.71
Hg: 0.0000 0.5000 0.7892  2 Ir 2.60
Ir: 0.0000 0.0000 0.3783  2 Hg 2.60

- Crystal system: orthorhombic
- Fermi-level density of states: 4.61 states/eV per cell
- Formation energy from the elements: 416 meV per atom
- Magnetic moment: 0.0 Bohr magnetons per cell